Ce3Ga4Rh4 | PBE | optimized geometry

Cell and atoms, written as CIF:
```
data_Ce3Ga4Rh4
_chemical_formula_sum 'Ce6 Ga8 Rh8'
_symmetry_space_group_name_H-M 'I m m m'
_symmetry_Int_Tables_number 71
_symmetry_space_group_name_Hall '-I 2 2'
_cell_length_a 3.989
_cell_length_b 7.485
_cell_length_c 14.016
_cell_angle_alpha 90.00
_cell_angle_beta 90.00
_cell_angle_gamma 90.00
loop_
_atom_site_label
_atom_site_fract_x
_atom_site_fract_y
_atom_site_fract_z
Ce1 0.000 0.000 0.000
Ce2 0.000 0.500 0.123
Ga1 0.000 0.303 0.325
Rh1 0.000 0.000 0.221
Rh2 0.000 0.206 0.500
```

Ce6GaRh | PBE | optimized geometry

Cell and atoms, written as CIF:
```
data_Ce6GaRh
_chemical_formula_sum 'Ce12 Ga2 Rh2'
_symmetry_space_group_name_H-M 'C 1 2/m 1'
_symmetry_Int_Tables_number 12
_cell_length_a 7.618
_cell_length_b 9.322
_cell_length_c 6.288
_cell_angle_alpha 90.00
_cell_angle_beta 105.47
_cell_angle_gamma 90.00
loop_
_symmetry_equiv_pos_as_xyz
'x,y,z'
'-x,-y,-z'
'-x,y,-z'
'x,-y,z'
'x+1/2,y+1/2,z'
'-x+1/2,-y+1/2,-z'
'-x+1/2,y+1/2,-z'
'x+1/2,-y+1/2,z'
loop_
_atom_site_label
_atom_site_fract_x
_atom_site_fract_y
_atom_site_fract_z
Ce1 0.133 0.211 0.307
Ce2 0.180 0.500 0.113
Ga1 0.000 0.500 0.500
Rh1 0.000 0.000 0.000
```

| no. | E_tot (eV per atom) | calculated volume (Å³/atom) |
| --- | --- | --- |
| 1 | -6.206 | 19.02 |
| 2 | -5.925 | 26.90 |